Crystalline Ba2LaTl2O6 at its relaxed geometry, computed with PBE-GGA.

Values from the calculation:
- E_form (uncorrected): -1899 meV/atom
- Crystal system: monoclinic
- V: 227.5 Å³ per cell
- Space-group type: C2/m, No. 12

```
Ba2LaTl2O6
1.0
6.609 0.000 0.000
-3.304 5.545 -0.155
0.000 -3.357 6.302
Ba Tl O La
2 2 6 1
Direct
0.715 0.430 0.148
0.285 0.570 0.852
0.061 0.123 0.236
0.939 0.877 0.764
0.726 0.452 0.532
0.333 0.155 0.794
0.178 0.845 0.206
0.667 0.845 0.206
0.822 0.155 0.794
0.274 0.548 0.468
0.500 0.000 0.500
```



Crystalline ErNi5Pb at its relaxed geometry, computed with PBE-GGA.

Values from the calculation:
- E_form: -1.62 eV per formula unit
- Crystal system: orthorhombic
- V: 412.0 Å³ per cell
- Space-group type: Pnma, No. 62

```
ErNi5Pb
1.0
-2.810 -2.481 -3.136
3.225 -6.971 2.625
-7.429 -0.717 7.223
Ni Pb Er
20 4 4
Direct
0.499 0.932 0.313
0.250 0.080 0.483
0.250 0.580 0.017
0.501 0.068 0.687
0.999 0.568 0.813
0.001 0.432 0.187
0.501 0.568 0.813
0.250 0.188 0.262
0.750 0.420 0.983
0.750 0.312 0.762
0.250 0.688 0.238
0.750 0.051 0.893
0.499 0.432 0.187
0.750 0.812 0.738
0.250 0.949 0.107
0.001 0.932 0.313
0.999 0.068 0.687
0.750 0.920 0.517
0.750 0.551 0.607
0.250 0.449 0.393
0.250 0.364 0.635
0.750 0.636 0.365
0.750 0.136 0.135
0.250 0.864 0.865
0.250 0.757 0.563
0.750 0.743 0.063
0.750 0.243 0.437
0.250 0.257 0.937
```



Crystalline Y3HPb at its relaxed geometry, computed with PBE-GGA.

Values from the calculation:
- Crystal system: orthorhombic
- V: 125.4 Å³ per cell
- Space-group type: Amm2, No. 38
- Energy above the lowest structure with this stoichiometry: 172.4 meV per atom

```
Y3HPb
1.0
-1.855 -2.017 2.331
-3.182 -2.427 -4.633
5.048 -3.245 1.210
H Y Pb
1 3 1
Direct
0.500 0.029 0.971
0.000 0.149 0.851
0.500 0.152 0.351
0.500 0.649 0.848
0.000 0.649 0.351
```



Crystalline Ac3Al2Pd9Pb at its relaxed geometry, computed with PBE-GGA.

Values from the calculation:
- E_form: -9.37 eV per formula unit
- Crystal system: trigonal
- V: 356.4 Å³ per cell
- Space-group type: P-3m1, No. 164

```
Ac3Al2Pd9Pb
1.0
-5.491 0.745 2.200
1.128 -4.505 -3.739
2.680 -6.788 8.989
Ac Pd Al Pb
3 9 2 1
Direct
0.000 0.000 0.000
0.667 0.333 0.266
0.333 0.667 0.734
0.837 0.674 0.693
0.674 0.837 0.307
0.500 0.500 0.000
0.326 0.163 0.693
0.163 0.326 0.307
0.000 0.500 0.000
0.500 0.000 0.000
0.163 0.837 0.307
0.837 0.163 0.693
0.333 0.667 0.158
0.667 0.333 0.842
0.000 0.000 0.500
```



Crystalline Mn2CoOs at its relaxed geometry, computed with PBE-GGA.

Values from the calculation:
- E_form: 0.70 eV per formula unit
- Crystal system: cubic
- V: 49.7 Å³ per cell
- Space-group type: F-43m, No. 216

```
Mn2CoOs
1.0
-0.025 4.044 -0.813
-3.151 2.339 1.269
0.550 2.721 3.053
Mn Co Os
2 1 1
Direct
0.250 0.250 0.250
0.000 0.000 0.000
0.750 0.750 0.750
0.500 0.500 0.500
```



Crystalline Li2InPt2 at its relaxed geometry, computed with PBE-GGA.

Values from the calculation:
- E_form: -2.49 eV per formula unit
- Crystal system: tetragonal
- V: 148.4 Å³ per cell
- Space-group type: P4/mbm, No. 127
- Energy above the lowest structure with this stoichiometry: 45.9 meV per atom

```
Li2InPt2
1.0
-5.638 -0.840 -4.321
2.188 -6.628 -1.566
-1.549 -1.036 2.222
Li Pt In
4 4 2
Direct
0.613 0.113 0.000
0.887 0.613 0.000
0.113 0.387 0.000
0.387 0.887 0.000
0.814 0.314 0.500
0.686 0.814 0.500
0.314 0.186 0.500
0.186 0.686 0.500
0.500 0.500 0.000
0.000 0.000 0.000
```



Crystalline TiBeCo at its relaxed geometry, computed with PBE-GGA.

Values from the calculation:
- E_form: -0.96 eV per formula unit
- Crystal system: orthorhombic
- V: 139.6 Å³ per cell
- Space-group type: Pnma, No. 62
- Energy above the lowest structure with this stoichiometry: 23.2 meV per atom

```
TiBeCo
1.0
3.824 0.000 0.000
0.000 6.177 0.000
0.000 0.000 5.911
Be Co Ti
4 4 4
Direct
0.250 0.394 0.297
0.750 0.894 0.203
0.750 0.606 0.703
0.250 0.106 0.797
0.250 0.060 0.162
0.250 0.440 0.662
0.750 0.940 0.838
0.750 0.560 0.338
0.250 0.689 0.986
0.750 0.189 0.514
0.750 0.311 0.014
0.250 0.811 0.486
```



Crystalline Na2TiPbCl8 at its relaxed geometry, computed with PBE-GGA.

Values from the calculation:
- E_form (uncorrected): -1495 meV/atom
- Crystal system: monoclinic
- V: 341.2 Å³ per cell
- Space-group type: P2/m, No. 10

```
Na2TiPbCl8
1.0
6.534 -0.106 -0.003
-0.106 6.301 -0.007
0.005 0.009 8.290
Na Cl Ti Pb
2 8 1 1
Direct
0.500 0.500 0.249
0.500 0.500 0.751
0.845 0.206 0.797
0.713 0.762 0.000
0.287 0.238 0.000
0.335 0.281 0.500
0.155 0.794 0.797
0.665 0.719 0.500
0.845 0.206 0.203
0.155 0.794 0.203
0.000 0.000 0.000
0.000 0.000 0.500
```



Crystalline BeNbTc2H at its relaxed geometry, computed with PBE-GGA.

Values from the calculation:
- Crystal system: tetragonal
- V: 58.4 Å³ per cell
- Space-group type: P4/mmm, No. 123

```
BeNbTc2H
1.0
-3.108 1.621 -2.297
2.028 -1.079 -3.505
-1.546 -2.945 0.012
Be H Nb Tc
1 1 1 2
Direct
0.000 0.000 0.500
0.000 0.000 0.000
0.500 0.500 0.500
0.000 0.500 0.000
0.500 0.000 0.000
```



Crystalline SrIn9Ir2 at its relaxed geometry, computed with PBE-GGA.

Values from the calculation:
- E_form: -1.10 eV per formula unit
- Crystal system: tetragonal
- V: 568.4 Å³ per cell
- Space-group type: I4_1/amd, No. 141

```
SrIn9Ir2
1.0
6.788 0.000 3.125
3.394 8.721 1.563
-0.253 0.000 9.484
In Ir Sr
18 4 2
Direct
0.432 0.807 0.433
0.318 0.067 0.693
0.989 0.693 0.933
0.989 0.933 0.693
0.750 0.500 0.500
0.672 0.193 0.567
0.761 0.567 0.807
0.432 0.433 0.807
0.078 0.307 0.933
0.135 0.193 0.433
0.615 0.067 0.307
0.078 0.933 0.307
0.761 0.807 0.567
0.000 0.000 0.000
0.135 0.433 0.193
0.318 0.693 0.067
0.615 0.307 0.067
0.672 0.567 0.193
0.875 0.250 0.250
0.375 0.750 0.750
0.875 0.750 0.250
0.875 0.250 0.750
0.250 0.500 0.500
0.500 0.000 0.000
```



Crystalline Ag2TeI at its relaxed geometry, computed with PBE-GGA.

Values from the calculation:
- E_form (uncorrected): -72 meV/atom
- Crystal system: triclinic
- V: 272.9 Å³ per cell
- Space-group type: P1, No. 1
- Energy above the lowest structure with this stoichiometry: 56.8 meV per atom

```
Ag2TeI
1.0
-3.834 3.951 0.722
-0.080 -1.993 6.233
7.131 4.149 -1.489
Ag I Te
4 2 2
Direct
0.189 0.400 0.761
0.346 0.815 0.400
0.099 0.776 0.041
0.535 0.090 0.868
0.597 0.253 0.594
0.094 0.768 0.651
0.310 0.434 0.119
0.931 0.158 0.158
```



Crystalline Zn8Cu5Ru at its relaxed geometry, computed with PBE-GGA.

Values from the calculation:
- E_form: 0.95 eV per formula unit
- Crystal system: tetragonal
- V: 199.4 Å³ per cell
- Space-group type: I-4, No. 82

```
Zn8Cu5Ru
1.0
6.374 0.040 -0.068
-2.119 6.012 0.068
-2.135 -3.020 5.192
Zn Cu Ru
8 5 1
Direct
0.362 0.296 0.427
0.633 0.396 0.911
0.089 0.722 0.485
0.763 0.278 0.367
0.515 0.604 0.237
0.934 0.065 0.638
0.573 0.935 0.869
0.131 0.704 0.066
0.285 0.081 0.983
0.903 0.919 0.204
0.796 0.698 0.715
0.500 0.000 0.500
0.017 0.302 0.097
0.250 0.500 0.750
```



Crystalline Y2ZnIrRu at its relaxed geometry, computed with PBE-GGA.

Values from the calculation:
- E_form: 1.14 eV per formula unit
- Crystal system: tetragonal
- V: 132.0 Å³ per cell
- Space-group type: P4/mmm, No. 123

```
Y2ZnIrRu
1.0
5.340 0.000 0.000
0.000 4.629 0.000
0.000 0.000 5.340
Ru Ir Y Zn
1 1 2 1
Direct
0.000 0.000 0.000
0.000 0.500 0.000
0.000 0.000 0.500
0.500 0.000 0.000
0.500 0.500 0.500
```



Number 1: final energy -5.831 eV/atom. Number 2: final energy -5.542 eV/atom. Number 3: final energy -5.579 eV/atom. Number 4: final energy -5.308 eV/atom. Number 5: final energy -8.994 eV/atom. Number 6: final energy -4.227 eV/atom. Number 7: final energy -6.562 eV/atom. Number 8: final energy -3.913 eV/atom. Number 9: final energy -7.615 eV/atom. Number 10: final energy -3.763 eV/atom. Number 11: final energy -2.670 eV/atom. Number 12: final energy -2.786 eV/atom. Number 13: final energy -6.241 eV/atom.